The following is a PBE calculation of an optimized crystal structure of HgPbBr2, from the Alexandria database.

Output
* Fermi-level density of states: 0.0 states/eV/f.u.
* spin magnetization: 0.00 μB/f.u.
* ΔE_f (raw): -2.37 eV/f.u.
* distance to the lowest polymorph of the same formula: 61 meV/atom

The structure in extended XYZ format:
```
4
Lattice="5.662 -0.398 0.355 4.427 3.552 0.355 2.207 0.690 7.215" Properties=species:S:1:pos:R:3 pbc="T T T"
Pb 2.558 0.800 0.735
Hg 6.732 2.105 3.799
Br 9.759 3.051 1.820
Br 9.482 2.964 6.241
```

The following is a PBE calculation of an optimized crystal structure of Ti3N2O3, from the Alexandria database.

Output
* Fermi-level density of states: 0.0 states/eV/f.u.
* spin magnetization: 0.00 μB/f.u.
* ΔE_f (raw): -18.60 eV/f.u.
* distance to the lowest polymorph of the same formula: 0 meV/atom

The structure in extended XYZ format:
```
16
Lattice="-1.256 -1.861 -4.747 -1.539 -4.586 -2.043 -9.498 2.436 1.460" Properties=species:S:1:pos:R:3 pbc="T T T"
Ti -7.762 -4.126 -4.971
Ti -11.321 -3.203 -4.414
Ti -4.602 -4.548 -5.066
Ti -7.753 0.557 -0.251
Ti -0.922 -0.771 -0.873
Ti -4.553 0.205 -0.270
N -6.010 -3.441 -4.097
N -2.680 -4.254 -4.568
N -9.207 -3.103 -4.091
N -9.656 0.285 -0.724
O -3.779 -5.857 -6.298
O -6.257 -5.262 -5.958
O -5.974 1.194 0.577
O -8.497 1.854 0.979
O -6.303 -0.646 -1.311
O -3.074 -0.978 -1.307
```

The following is a PBE calculation of an optimized crystal structure of NaCeEr4S8, from the Alexandria database.

Output
* Fermi-level density of states: 8.4 states/eV/f.u.
* spin magnetization: 1.00 μB/f.u.
* ΔE_f (raw): -26.91 eV/f.u.

The structure in extended XYZ format:
```
14
Lattice="8.034 0.000 0.000 4.017 6.958 0.000 4.017 2.319 6.720" Properties=species:S:1:pos:R:3 pbc="T T T"
Na 8.034 4.638 5.918
Ce 4.017 2.319 6.651
Er 8.034 4.638 0.811
Er 4.017 4.555 3.385
Er 5.953 1.201 3.385
Er 2.081 1.201 3.385
S 8.034 7.138 4.894
S 10.198 3.389 4.894
S 5.869 3.389 4.894
S 4.017 2.319 1.917
S 8.034 2.222 1.796
S 5.941 5.847 1.796
S 10.127 5.847 1.796
S 12.051 6.958 4.875
```

The following is a PBE calculation of an optimized crystal structure of LiReAgF6, from the Alexandria database.

Output
* spin magnetization: 3.00 μB/f.u.
* ΔE_f (raw): -18.31 eV/f.u.

The structure in extended XYZ format:
```
18
Lattice="-3.937 1.601 -3.337 2.176 -4.916 -0.550 -7.198 -3.926 6.611" Properties=species:S:1:pos:R:3 pbc="T T T"
Li -1.662 -3.725 0.174
Li -7.299 -3.516 2.550
Re -3.699 -1.553 -0.755
Re -5.261 -5.688 3.479
Ag 0.000 0.000 0.000
Ag -3.599 -1.963 3.305
F -2.226 -2.650 -1.521
F -4.174 -0.749 -2.512
F -3.916 -6.823 2.551
F -4.786 -6.492 5.236
F -3.216 -2.542 0.903
F -5.049 -2.906 -1.310
F -6.473 -7.187 2.987
F -5.045 -0.418 0.173
F -3.911 -4.335 4.034
F -2.487 -0.054 -0.263
F -5.744 -4.699 1.821
F -6.734 -4.591 4.245
```

no.,final energy (eV/atom)
1,-2.433
2,-9.227
3,-6.102
4,-5.194